Material: ZrCo2Cl
Method: DFT, PBE
State: relaxed

Cell lengths 5.030, 5.030, 4.250 Å; angles 94.68, 94.68, 35.17 degrees
Sites, in units of the cell vectors:
Co: 0.973 0.973 0.030
Co: 0.527 0.527 0.470
Zr: 0.250 0.250 0.250
Cl: 0.750 0.750 0.750

Calculated values
E ... -6.0788 eV/atom
V ... 61.7 Å³/f.u.
M_tot ... 2.162 μB/f.u.
Raw formation energy ... 0.07 eV per atom
Calculated density ... 6.580 g/cm3

---

Material: Zr2CoCl
Method: DFT, PBE
State: relaxed

Cell lengths 4.621, 4.621, 4.621 Å; angles 60.00, 60.00, 60.00 degrees
Sites, in units of the cell vectors:
Co: 0.500 0.500 0.500
Zr: 0.250 0.250 0.250
Zr: 0.750 0.750 0.750
Cl: 0.000 0.000 0.000

Calculated values
E ... -6.5890 eV/atom
V ... 69.8 Å³/f.u.
M_tot ... 0.311 μB/f.u.
Raw formation energy ... -0.08 eV per atom
Calculated density ... 6.587 g/cm3

---

Material: ZrCoCl
Method: DFT, PBE
State: relaxed

Cell lengths 4.186, 4.186, 3.060 Å; angles 90.00, 90.00, 120.00 degrees
Sites, in units of the cell vectors:
Co: 0.333 0.667 0.166
Zr: 0.667 0.333 0.667
Cl: 0.000 0.000 0.167

Calculated values
E ... -5.9351 eV/atom
V ... 46.4 Å³/f.u.
M_tot ... 0.137 μB/f.u.
Raw formation energy ... -0.10 eV per atom
Calculated density ... 6.638 g/cm3

---

Material: ZrCoCl2
Method: DFT, PBE
State: relaxed

Cell lengths 4.371, 3.405, 5.039 Å; angles 92.37, 90.00, 90.00 degrees
Sites, in units of the cell vectors:
Co: 0.500 0.250 0.250
Zr: 0.500 0.750 0.750
Cl: 0.000 0.992 0.002
Cl: 0.000 0.508 0.498

Calculated values
E ... -4.9991 eV/atom
V ... 74.9 Å³/f.u.
M_tot ... 1.955 μB/f.u.
Raw formation energy ... -0.16 eV per atom
Calculated density ... 4.898 g/cm3

---

Material: ZrCoCl3
Method: DFT, PBE
State: relaxed

Cell lengths 5.072, 5.072, 5.072 Å; angles 90.00, 90.00, 90.00 degrees
Sites, in units of the cell vectors:
Co: 0.500 0.500 0.500
Zr: 0.000 0.000 0.000
Cl: 0.000 0.500 0.000
Cl: 0.000 0.000 0.500
Cl: 0.500 0.000 0.000

Calculated values
E ... -4.5027 eV/atom
V ... 130.5 Å³/f.u.
M_tot ... 3.199 μB/f.u.
Raw formation energy ... -0.26 eV per atom
Calculated density ... 3.265 g/cm3

---

Material: ZrCoCl
Method: DFT, PBE
State: relaxed

Cell lengths 6.563, 6.557, 3.115 Å; angles 76.38, 76.15, 27.47 degrees
Sites, in units of the cell vectors:
Co: 0.291 0.291 0.709
Zr: 0.679 0.679 0.321
Cl: 0.029 0.029 0.971

Calculated values
E ... -6.1363 eV/atom
V ... 59.9 Å³/f.u.
M_tot ... 0.000 μB/f.u.
Raw formation energy ... -0.30 eV per atom
Calculated density ... 5.141 g/cm3

---

Material: ZrCoCl2
Method: DFT, PBE
State: relaxed

Cell lengths 8.342, 8.342, 8.342 Å; angles 22.36, 22.36, 22.36 degrees
Sites, in units of the cell vectors:
Co: 0.000 0.000 0.000
Zr: 0.500 0.500 0.500
Cl: 0.910 0.910 0.910
Cl: 0.090 0.090 0.090

Calculated values
E ... -5.2871 eV/atom
V ... 73.7 Å³/f.u.
M_tot ... 1.445 μB/f.u.
Raw formation energy ... -0.45 eV per atom
Calculated density ... 4.982 g/cm3

---

Material: ZrCoCl2
Method: DFT, PBE
State: relaxed

Cell lengths 3.619, 3.577, 7.110 Å; angles 84.47, 90.00, 90.00 degrees
Sites, in units of the cell vectors:
Co: 0.000 0.302 0.577
Zr: 0.500 0.812 0.652
Cl: 0.000 0.004 0.902
Cl: 0.500 0.382 0.369

Calculated values
E ... -5.4893 eV/atom
V ... 91.6 Å³/f.u.
M_tot ... 0.000 μB/f.u.
Raw formation energy ... -0.65 eV per atom
Calculated density ... 4.007 g/cm3